(1)
The following is a PBE calculation of an optimized crystal structure of Er2Al12Pt7, from Alexandria.

Values from the calculation:
energy of formation = -993 meV per atom

abc: 9.9449 9.9449 4.1457
angles: 90.00 90.00 120.00
Space group P-6 (No. 174)
Asymmetric unit:
Er (0.0000, 0.0000, 0.0000)
Er (0.3333, 0.6667, 0.5000)
Al (0.0265, 0.7403, 0.5000)
Al (0.1374, 0.3866, 0.0000)
Al (0.3737, 0.1815, 0.0000)
Al (0.5330, 0.1182, 0.5000)
Pt (0.0388, 0.5807, 0.0000)
Pt (0.2408, 0.0165, 0.5000)
Pt (0.6667, 0.3333, 0.0000)

(2)
The following is a PBE calculation of an optimized crystal structure of PmAl3AgHg, from Alexandria.

Values from the calculation:
energy of formation = 12 meV per atom

abc: 5.869 17.051 5.928
angles: 90.00 90.00 90.00
Space group Cmcm (No. 63)
Asymmetric unit:
Pm (0.000, 0.172, 0.250)
Al (0.000, 0.261, 0.750)
Al (0.237, 0.000, 0.000)
Ag (0.000, 0.410, 0.750)
Hg (0.000, 0.110, 0.750)

(3)
The following is a PBE calculation of an optimized crystal structure of ZnTeMo2, from Alexandria.

Values from the calculation:
offset from the most stable computed form = 0.101 eV per atom

abc: 3.2220 3.2220 26.0930
angles: 90.00 90.00 120.00
Space group R3m (No. 160, hexagonal axes)
Asymmetric unit:
Zn (0.0000, 0.0000, 0.0000)
Te (0.0000, 0.0000, 0.7694)
Mo (0.0000, 0.0000, 0.2532)
Mo (0.0000, 0.0000, 0.5198)